# 1
{
  "formula": "La16Tb7Y6",
  "functional": "PBE",
  "state": "relaxed",
  "delta_e_f_ev_per_atom": 0.18,
  "energy_ev_per_atom": -4.989,
  "lattice_angstrom": [[0.000, 8.118, 8.118], [8.118, 0.000, 8.118], [8.118, 8.118, 0.000]],
  "species": ["La", "La", "La", "La", "La", "La", "La", "La", "La", "La", "La", "La", "La", "La", "La", "La", "Tb", "Tb", "Tb", "Tb", "Tb", "Tb", "Tb", "Y", "Y", "Y", "Y", "Y", "Y"],
  "frac_coords": [[0.048, 0.651, 0.651], [0.125, 0.125, 0.125], [0.125, 0.125, 0.626], [0.125, 0.626, 0.125], [0.349, 0.349, 0.349], [0.349, 0.349, 0.952], [0.349, 0.952, 0.349], [0.374, 0.875, 0.875], [0.626, 0.125, 0.125], [0.651, 0.048, 0.651], [0.651, 0.651, 0.048], [0.651, 0.651, 0.651], [0.875, 0.374, 0.875], [0.875, 0.875, 0.374], [0.875, 0.875, 0.875], [0.952, 0.349, 0.349], [0.000, 0.000, 0.000], [0.000, 0.000, 0.500], [0.000, 0.500, 0.000], [0.000, 0.500, 0.500], [0.500, 0.000, 0.000], [0.500, 0.000, 0.500], [0.500, 0.500, 0.000], [0.265, 0.265, 0.735], [0.265, 0.735, 0.265], [0.265, 0.735, 0.735], [0.735, 0.265, 0.265], [0.735, 0.265, 0.735], [0.735, 0.735, 0.265]]
}

# 2
{
  "formula": "SrAl2Ag8",
  "functional": "PBE",
  "state": "relaxed",
  "delta_e_f_ev_per_atom": 0.16,
  "energy_ev_per_atom": -2.747,
  "lattice_angstrom": [[5.642, 0.000, 0.000], [0.000, 5.642, 0.000], [0.000, 0.000, 8.890]],
  "species": ["Sr", "Al", "Al", "Ag", "Ag", "Ag", "Ag", "Ag", "Ag", "Ag", "Ag"],
  "frac_coords": [[0.000, 0.000, 0.000], [0.000, 0.500, 0.500], [0.500, 0.000, 0.500], [0.251, 0.251, 0.302], [0.251, 0.251, 0.698], [0.251, 0.749, 0.302], [0.251, 0.749, 0.698], [0.749, 0.251, 0.302], [0.749, 0.251, 0.698], [0.749, 0.749, 0.302], [0.749, 0.749, 0.698]]
}

# 3
{
  "formula": "OsW4",
  "functional": "PBE",
  "state": "relaxed",
  "e_above_lowest_polymorph_ev_per_atom": 0.0000,
  "delta_e_f_ev_per_atom": 0.13,
  "energy_ev_per_atom": -12.480,
  "lattice_angstrom": [[-3.535, 3.535, 1.586], [3.535, -3.535, 1.586], [3.535, 3.535, -1.586]],
  "species": ["Os", "W", "W", "W", "W"],
  "frac_coords": [[0.000, 0.000, 0.000], [0.196, 0.394, 0.590], [0.394, 0.804, 0.198], [0.606, 0.196, 0.802], [0.804, 0.606, 0.410]]
}

# 4
{
  "formula": "FeHg",
  "functional": "PBE",
  "state": "relaxed",
  "delta_e_f_ev_per_atom": 0.47,
  "energy_ev_per_atom": -3.916,
  "lattice_angstrom": [[6.443, 0.000, 0.000], [0.000, 4.003, 0.000], [0.000, 0.000, 5.475]],
  "species": ["Fe", "Fe", "Fe", "Fe", "Hg", "Hg", "Hg", "Hg"],
  "frac_coords": [[0.047, 0.250, 0.115], [0.453, 0.750, 0.615], [0.547, 0.250, 0.385], [0.953, 0.750, 0.885], [0.159, 0.250, 0.624], [0.341, 0.750, 0.124], [0.659, 0.250, 0.876], [0.841, 0.750, 0.376]]
}

# 5
{
  "formula": "KCa2Pb2",
  "functional": "PBE",
  "state": "relaxed",
  "e_above_lowest_polymorph_ev_per_atom": 0.0000,
  "delta_e_f_ev_per_atom": -0.40,
  "energy_ev_per_atom": -2.903,
  "lattice_angstrom": [[9.774, 0.000, 0.000], [0.000, 9.774, 0.000], [0.000, 0.000, 3.530]],
  "species": ["K", "K", "Ca", "Ca", "Ca", "Ca", "Pb", "Pb", "Pb", "Pb"],
  "frac_coords": [[0.000, 0.000, 0.000], [0.500, 0.500, 0.000], [0.126, 0.374, 0.000], [0.374, 0.874, 0.000], [0.626, 0.126, 0.000], [0.874, 0.626, 0.000], [0.173, 0.673, 0.500], [0.327, 0.173, 0.500], [0.673, 0.827, 0.500], [0.827, 0.327, 0.500]]
}

# 6
{
  "formula": "TiCoSn",
  "functional": "PBE",
  "state": "relaxed",
  "delta_e_f_ev_per_atom": 0.30,
  "energy_ev_per_atom": -6.030,
  "lattice_angstrom": [[0.000, 3.067, 3.067], [3.067, 0.000, 3.067], [3.067, 3.067, 0.000]],
  "species": ["Ti", "Co", "Sn"],
  "frac_coords": [[0.000, 0.000, 0.000], [0.750, 0.750, 0.750], [0.250, 0.250, 0.250]]
}

# 7
{
  "formula": "Y7Cu2Sn2",
  "functional": "PBE",
  "state": "relaxed",
  "delta_e_f_ev_per_atom": -0.18,
  "energy_ev_per_atom": -5.770,
  "lattice_angstrom": [[4.053, -5.614, 0.000], [4.053, 5.614, 0.000], [0.000, 0.000, 6.940]],
  "species": ["Y", "Y", "Y", "Y", "Y", "Y", "Y", "Cu", "Cu", "Sn", "Sn"],
  "frac_coords": [[0.000, 0.000, 0.000], [0.000, 0.500, 0.255], [0.000, 0.500, 0.745], [0.500, 0.000, 0.255], [0.500, 0.000, 0.745], [0.500, 0.500, 0.238], [0.500, 0.500, 0.762], [0.291, 0.709, 0.000], [0.709, 0.291, 0.000], [0.180, 0.180, 0.500], [0.820, 0.820, 0.500]]
}

# 8
{
  "formula": "ZrTeAs2",
  "functional": "PBE",
  "state": "relaxed",
  "energy_ev_per_atom": -5.138,
  "lattice_angstrom": [[-3.078, 3.078, 6.698], [3.078, -3.078, 6.698], [3.078, 3.078, -6.698]],
  "species": ["Zr", "Zr", "Te", "Te", "As", "As", "As", "As"],
  "frac_coords": [[0.000, 0.000, 0.000], [0.750, 0.250, 0.500], [0.250, 0.750, 0.500], [0.500, 0.500, 0.000], [0.091, 0.625, 0.966], [0.375, 0.341, 0.466], [0.659, 0.125, 0.034], [0.875, 0.909, 0.534]]
}

# 9
{
  "formula": "CdGa2OsAu",
  "functional": "PBE",
  "state": "relaxed",
  "delta_e_f_ev_per_atom": 1.50,
  "energy_ev_per_atom": -2.796,
  "lattice_angstrom": [[4.896, 0.000, 0.000], [0.000, 4.896, 0.000], [0.000, 0.000, 5.165]],
  "species": ["Cd", "Ga", "Ga", "Os", "Au"],
  "frac_coords": [[0.000, 0.000, 0.000], [0.000, 0.500, 0.000], [0.500, 0.000, 0.000], [0.000, 0.000, 0.500], [0.500, 0.500, 0.500]]
}

# 10
{
  "formula": "Rb3Tl3NiBr8",
  "functional": "PBE",
  "state": "relaxed",
  "energy_ev_per_atom": -3.019,
  "lattice_angstrom": [[4.805, 2.774, 7.665], [-4.805, 2.774, 7.665], [0.000, -5.548, 7.665]],
  "species": ["Rb", "Rb", "Rb", "Tl", "Tl", "Tl", "Ni", "Br", "Br", "Br", "Br", "Br", "Br", "Br", "Br"],
  "frac_coords": [[0.000, 0.500, 0.500], [0.500, 0.000, 0.500], [0.500, 0.500, 0.000], [0.000, 0.000, 0.500], [0.000, 0.500, 0.000], [0.500, 0.000, 0.000], [0.000, 0.000, 0.000], [0.191, 0.804, 0.804], [0.196, 0.196, 0.809], [0.196, 0.809, 0.196], [0.248, 0.248, 0.248], [0.752, 0.752, 0.752], [0.804, 0.191, 0.804], [0.804, 0.804, 0.191], [0.809, 0.196, 0.196]]
}